Compound: NbV5C4
Source: the Alexandria database
Functional: PBE
Structure: relaxed

a = 12.903 Å, b = 2.979 Å, c = 5.970 Å
α = 90.00°, β = 106.03°, γ = 90.00°
Space group C2/m (No. 12)
Symmetry-distinct sites (fractional):
Nb: 0.000 0.000 0.000 x2
V: 0.000 0.000 0.500 x2
V: 0.164 0.500 0.854 x4
V: 0.173 0.500 0.329 x4
C: 0.007 0.500 0.272 x4
C: 0.175 0.000 0.097 x4

Computed properties:
E_tot	-96.643	eV/f.u.
energy of formation	-0.41	eV/atom
N(E_F)	11.85	states/eV per cell